# Ho4AsPbSe2 | Alexandria | PBE-GGA | optimized geometry
data_Ho4AsPbSe2
_chemical_formula_sum 'Ho4 As1 Pb1 Se2'
_space_group_name_H-M_alt 'P 1'
_space_group_IT_number 1
_cell_length_a 4.1720
_cell_length_b 7.2094
_cell_length_c 7.2651
_cell_angle_alpha 70.52
_cell_angle_beta 90.00
_cell_angle_gamma 90.00
loop_
_space_group_symop_operation_xyz
'x,y,z'
loop_
_atom_site_label
_atom_site_fract_x
_atom_site_fract_y
_atom_site_fract_z
Ho1 0.0000 0.7523 0.7397
Ho2 0.0000 0.2477 0.2603
Ho3 0.5000 0.7436 0.2606
Ho4 0.5000 0.2564 0.7394
As1 0.0000 0.5000 0.5000
Pb1 0.5000 0.5000 0.0000
Se1 0.0000 0.0000 0.0000
Se2 0.5000 0.0000 0.5000
# - space-group type = No. 10


# Ho6As2PbSe3 | Alexandria | PBE-GGA | optimized geometry
data_Ho6As2PbSe3
_chemical_formula_sum 'Ho6 As2 Pb1 Se3'
_space_group_name_H-M_alt 'P 1'
_space_group_IT_number 1
_cell_length_a 4.1353
_cell_length_b 8.3147
_cell_length_c 9.2577
_cell_angle_alpha 102.62
_cell_angle_beta 102.91
_cell_angle_gamma 90.00
loop_
_space_group_symop_operation_xyz
'x,y,z'
loop_
_atom_site_label
_atom_site_fract_x
_atom_site_fract_y
_atom_site_fract_z
Ho1 0.3294 0.9036 0.6587
Ho2 0.6708 0.5769 0.3416
Ho3 0.6706 0.0964 0.3413
Ho4 0.0036 0.2614 0.0073
Ho5 0.9964 0.7386 0.9927
Ho6 0.3292 0.4231 0.6584
As1 0.8323 0.6642 0.6647
As2 0.1677 0.3358 0.3353
Pb1 0.5000 0.0000 0.0000
Se1 0.5000 0.5000 0.0000
Se2 0.8342 0.1679 0.6685
Se3 0.1658 0.8321 0.3315
# - space-group type = No. 12


# Ho4AsPb2Se | Alexandria | PBE-GGA | optimized geometry
data_Ho4AsPb2Se
_chemical_formula_sum 'Ho4 As1 Pb2 Se1'
_space_group_name_H-M_alt 'P 1'
_space_group_IT_number 1
_cell_length_a 4.0437
_cell_length_b 8.0110
_cell_length_c 6.9660
_cell_angle_alpha 72.94
_cell_angle_beta 90.00
_cell_angle_gamma 90.00
loop_
_space_group_symop_operation_xyz
'x,y,z'
loop_
_atom_site_label
_atom_site_fract_x
_atom_site_fract_y
_atom_site_fract_z
Ho1 0.0000 0.7175 0.7566
Ho2 0.0000 0.2825 0.2434
Ho3 0.5000 0.7146 0.2648
Ho4 0.5000 0.2854 0.7352
As1 0.0000 0.5000 0.5000
Pb1 0.0000 0.0000 0.0000
Pb2 0.5000 0.0000 0.5000
Se1 0.5000 0.5000 0.0000
# - space-group type = No. 10


Electronic total energy: -5.574; -5.718; -5.269 (eV per atom)